Record 1
VASP calculation (GGA-PBE) on an optimized crystal structure of LiTlNi2C.

Output
Raw total energy: -24.342 eV for the cell shown
Calculated volume: 61.96 Å³/cell
Formation energy: 3.3 kcal/mol of atoms
Relative energy among the computed polymorphs: 0 meV per atom
Total magnetization: 0.00 μB per formula unit

Cell lengths 3.8339, 3.8339, 4.2151 Å; angles 90.00, 90.00, 90.00 degrees
With the nearest neighbours (Å) after each atom.
Fractional coordinates of all 5 atoms:
Li: 0.0000 0.0000 0.5000  2 C 2.11
Ni: 0.5000 0.0000 0.0000  2 C 1.92
Ni: 0.0000 0.5000 0.0000  2 C 1.92
Tl: 0.5000 0.5000 0.5000  4 Li 2.71, 8 Ni 2.85
C: 0.0000 0.0000 0.0000  4 Ni 1.92, 2 Li 2.11



Record 2
VASP calculation (GGA-PBE) on an optimized crystal structure of PrGa4Cu3.

Output
Raw total energy: -31.612 eV for the cell shown
Calculated volume: 140.63 Å³/cell
Formation energy: -7.0 kcal/mol of atoms
Total magnetization: 0.00 μB per formula unit

Cell lengths 4.1545, 4.1545, 8.1476 Å; angles 90.00, 90.00, 90.00 degrees
With the nearest neighbours (Å) after each atom.
Fractional coordinates of all 8 atoms:
Ga: 0.5000 0.0000 0.1756  4 Cu 2.52
Ga: 0.5000 0.0000 0.8244  4 Cu 2.52
Ga: 0.0000 0.5000 0.8244  4 Cu 2.52
Ga: 0.0000 0.5000 0.1756  4 Cu 2.52
Pr: 0.0000 0.0000 0.5000  8 Cu 3.18, 8 Ga 3.36
Cu: 0.5000 0.5000 0.6489  1 Cu 2.43, 4 Ga 2.52
Cu: 0.0000 0.0000 0.0000  8 Ga 2.52
Cu: 0.5000 0.5000 0.3511  1 Cu 2.43, 4 Ga 2.52



Record 3
VASP calculation (GGA-PBE) on an optimized crystal structure of Ta3AsH.

Output
Raw total energy: -43.432 eV for the cell shown
Calculated volume: 71.48 Å³/cell
Relative energy among the computed polymorphs: 0 meV per atom
Total magnetization: 0.00 μB per formula unit

Cell lengths 4.1501, 4.1501, 4.1501 Å; angles 90.00, 90.00, 90.00 degrees
With the nearest neighbours (Å) after each atom.
Fractional coordinates of all 5 atoms:
Ta: 0.0000 0.0000 0.5000  2 H 2.08
Ta: 0.5000 0.0000 0.0000  2 H 2.08
Ta: 0.0000 0.5000 0.0000  2 H 2.08
H: 0.0000 0.0000 0.0000  6 Ta 2.08
As: 0.5000 0.5000 0.5000  12 Ta 2.93



Record 4
VASP calculation (GGA-PBE) on an optimized crystal structure of Ba4HgBiI2.

Output
Energy relative to the elements, uncorrected: -1066 meV per atom
Raw total energy: -23.502 eV for the cell shown
Calculated volume: 377.37 Å³/cell
Total magnetization: 1.86 μB per formula unit

Cell lengths 4.9970, 8.9961, 8.8416 Å; angles 71.71, 90.00, 90.00 degrees
With the nearest neighbours (Å) after each atom.
Fractional coordinates of all 8 atoms:
Ba: 0.0000 0.2770 0.2414  2 Bi 3.48, 1 Hg 3.48, 3 I 3.76
Ba: 0.5000 0.7255 0.2580  2 Hg 3.49, 1 Bi 3.50, 3 I 3.74
Ba: 0.5000 0.2745 0.7420  2 Hg 3.49, 1 Bi 3.50, 3 I 3.74
Ba: 0.0000 0.7230 0.7586  2 Bi 3.48, 1 Hg 3.48, 3 I 3.76
Hg: 0.0000 0.5000 0.5000  6 Ba 3.48-3.49
Bi: 0.5000 0.5000 0.0000  6 Ba 3.48-3.50
I: 0.5000 0.0000 0.5000  6 Ba 3.74-3.76
I: 0.0000 0.0000 0.0000  6 Ba 3.74-3.76



Record 5
VASP calculation (GGA-PBE) on an optimized crystal structure of PmIn4Sn.

Output
Raw total energy: -20.498 eV for the cell shown
Calculated volume: 161.34 Å³/cell
Formation energy: -3.0 kcal/mol of atoms
Relative energy among the computed polymorphs: 0 meV per atom
Total magnetization: 0.00 μB per formula unit

Cell lengths 6.1106, 6.1106, 6.1106 Å; angles 60.00, 60.00, 60.00 degrees
With the nearest neighbours (Å) after each atom.
Fractional coordinates of all 6 atoms:
Pm: 0.2500 0.2500 0.2500  12 In 3.58, 4 Sn 3.74
In: 0.6251 0.6251 0.6251  6 In 3.05-3.06
In: 0.6251 0.6251 0.1247  6 In 3.05-3.06
In: 0.6251 0.1247 0.6251  6 In 3.05-3.06
In: 0.1247 0.6251 0.6251  6 In 3.05-3.06
Sn: 0.0000 0.0000 0.0000  12 In 3.58, 4 Pm 3.74



Record 6
VASP calculation (GGA-PBE) on an optimized crystal structure of Mg2Zn5Ni2Pd.

Output
Raw total energy: -58.317 eV for the cell shown
Calculated volume: 298.33 Å³/cell
Formation energy: -6.6 kcal/mol of atoms
Total magnetization: 0.00 μB per formula unit

Cell lengths 3.8476, 8.8055, 8.8055 Å; angles 90.00, 90.00, 90.00 degrees
With the nearest neighbours (Å) after each atom.
Fractional coordinates of all 20 atoms:
Zn: 0.5000 0.7033 0.4296  2 Ni 2.52, 3 Zn 2.68, 2 Pd 2.70
Zn: 0.5000 0.9296 0.2033  2 Ni 2.52, 3 Zn 2.68, 2 Pd 2.70
Zn: 0.5000 0.4296 0.2967  2 Ni 2.52, 3 Zn 2.68, 2 Pd 2.70
Zn: 0.5000 0.7967 0.9296  2 Ni 2.52, 3 Zn 2.68, 2 Pd 2.70
Zn: 0.5000 0.5000 0.0000  4 Ni 2.43, 4 Zn 2.68
Zn: 0.5000 0.2967 0.5704  2 Ni 2.52, 3 Zn 2.68, 2 Pd 2.70
Zn: 0.5000 0.2033 0.0704  2 Ni 2.52, 3 Zn 2.68, 2 Pd 2.70
Zn: 0.5000 0.0000 0.5000  4 Ni 2.43, 4 Zn 2.68
Zn: 0.5000 0.0704 0.7967  2 Ni 2.52, 3 Zn 2.68, 2 Pd 2.70
Zn: 0.5000 0.5704 0.7033  2 Ni 2.52, 3 Zn 2.68, 2 Pd 2.70
Mg: 0.0000 0.8250 0.6750  3 Ni 2.56-2.64
Mg: 0.0000 0.1750 0.3250  3 Ni 2.56-2.64
Mg: 0.0000 0.6750 0.1750  3 Ni 2.56-2.64
Mg: 0.0000 0.3250 0.8250  3 Ni 2.56-2.64
Ni: 0.0000 0.1193 0.6193  6 Zn 2.43-2.52, 3 Mg 2.56-2.64
Ni: 0.0000 0.3807 0.1193  6 Zn 2.43-2.52, 3 Mg 2.56-2.64
Ni: 0.0000 0.6193 0.8807  6 Zn 2.43-2.52, 3 Mg 2.56-2.64
Ni: 0.0000 0.8807 0.3807  6 Zn 2.43-2.52, 3 Mg 2.56-2.64
Pd: 0.0000 0.0000 0.0000  8 Zn 2.70
Pd: 0.0000 0.5000 0.5000  8 Zn 2.70



Record 7
VASP calculation (GGA-PBE) on an optimized crystal structure of BiIrS2.

Output
Energy relative to the elements, uncorrected: -268 meV per atom
Raw total energy: -22.068 eV for the cell shown
Calculated volume: 88.44 Å³/cell
Total magnetization: 0.00 μB per formula unit

Cell lengths 3.5804, 3.5804, 7.9668 Å; angles 90.00, 90.00, 120.00 degrees
With the nearest neighbours (Å) after each atom.
Fractional coordinates of all 4 atoms:
S: 0.6667 0.3333 0.1358  3 Ir 2.40
S: 0.3333 0.6667 0.8391  3 Ir 2.36
Ir: 0.0000 0.0000 0.9816  6 S 2.36-2.40
Bi: 0.3333 0.6667 0.4984  1 S 2.71



Record 8
VASP calculation (GGA-PBE) on an optimized crystal structure of Al2Zn4Ga5.

Output
Raw total energy: -26.808 eV for the cell shown
Calculated volume: 193.85 Å³/cell
Formation energy: 1.9 kcal/mol of atoms
Relative energy among the computed polymorphs: 29 meV per atom
Total magnetization: 0.00 μB per formula unit

Cell lengths 3.2661, 8.3693, 8.3945 Å; angles 119.90, 101.22, 90.00 degrees
With the nearest neighbours (Å) after each atom.
Fractional coordinates of all 11 atoms:
Ga: 0.1942 0.8631 0.3884  3 Ga 2.65-2.83, 3 Zn 2.65-2.82, 1 Al 2.82
Ga: 0.5000 0.0000 0.0000  4 Zn 2.72, 4 Al 2.75
Ga: 0.8058 0.1369 0.6116  3 Ga 2.65-2.83, 3 Zn 2.65-2.82, 1 Al 2.82
Ga: 0.1942 0.5253 0.3884  3 Ga 2.65-2.83, 3 Zn 2.65-2.82, 1 Al 2.82
Ga: 0.8058 0.4747 0.6116  3 Ga 2.65-2.83, 3 Zn 2.65-2.82, 1 Al 2.82
Zn: 0.0000 0.2601 0.0000  4 Ga 2.72-2.82, 4 Zn 2.86
Zn: 0.0000 0.7399 0.0000  4 Ga 2.72-2.82, 4 Zn 2.86
Zn: 0.4143 0.4143 0.8285  1 Zn 2.43, 4 Ga 2.65
Zn: 0.5857 0.5857 0.1715  1 Zn 2.43, 4 Ga 2.65
Al: 0.8438 0.8438 0.6876  8 Ga 2.75-3.03
Al: 0.1562 0.1562 0.3124  8 Ga 2.75-3.03



| no. | DOS at the Fermi energy (states/eV/f.u.) |
| --- | --- |
| 1 | 2.812 |
| 2 | 2.494 |
| 3 | 3.712 |
| 4 | 5.009 |
| 5 | 3.343 |
| 6 | 4.161 |
| 7 | 0.729 |
| 8 | 3.253 |